[1]
# GGA-PBE Na3LiHg12, optimized geometry
data_Na3LiHg12
_chemical_formula_sum 'Na3 Li1 Hg12'
_cell_length_a 4.664
_cell_length_b 4.664
_cell_length_c 18.468
_cell_angle_alpha 90.00
_cell_angle_beta 90.00
_cell_angle_gamma 90.00
_space_group_name_H-M_alt 'P 4/m m m'
_space_group_IT_number 123
_space_group_name_Hall '-P 4 2'
loop_
_atom_site_label
_atom_site_type_symbol
_atom_site_fract_x
_atom_site_fract_y
_atom_site_fract_z
Na1 Na 0.000 0.000 0.000
Na2 Na 0.000 0.000 0.256
Li1 Li 0.000 0.000 0.500
Hg1 Hg 0.000 0.500 0.128
Hg2 Hg 0.000 0.500 0.383
Hg3 Hg 0.500 0.500 0.000
Hg4 Hg 0.500 0.500 0.256
Hg5 Hg 0.500 0.500 0.500
# V (Å³/f.u.): 401.8
# Energy of formation from the pure elements (eV per atom): -0.172
# N(E_F) (states/eV per atom): 0.413

---

[2]
# GGA-PBE Na12LiHg7, optimized geometry
data_Na12LiHg7
_chemical_formula_sum 'Na36 Li3 Hg21'
_cell_length_a 14.5246
_cell_length_b 14.5246
_cell_length_c 9.2012
_cell_angle_alpha 90.00
_cell_angle_beta 90.00
_cell_angle_gamma 120.00
_space_group_name_H-M_alt 'R -3'
_space_group_IT_number 148
_space_group_name_Hall '-R 3'
loop_
_atom_site_label
_atom_site_type_symbol
_atom_site_fract_x
_atom_site_fract_y
_atom_site_fract_z
Na1 Na 0.0316 0.2483 0.4003
Na2 Na 0.0747 0.5882 0.6381
Li1 Li 0.0000 0.0000 0.5000
Hg1 Hg 0.0000 0.0000 0.0000
Hg2 Hg 0.0125 0.1510 0.7235
# V (Å³/f.u.): 560.4
# Energy of formation from the pure elements (eV per atom): -0.168
# N(E_F) (states/eV per atom): 0.447

---

[3]
# GGA-PBE Na2Li3Hg3, optimized geometry
data_Na2Li3Hg3
_chemical_formula_sum 'Na2 Li3 Hg3'
_cell_length_a 8.2042
_cell_length_b 8.2042
_cell_length_c 3.1629
_cell_angle_alpha 90.00
_cell_angle_beta 90.00
_cell_angle_gamma 120.00
_space_group_name_H-M_alt 'P -6 2 m'
_space_group_IT_number 189
_space_group_name_Hall 'P -6 -2'
loop_
_atom_site_label
_atom_site_type_symbol
_atom_site_fract_x
_atom_site_fract_y
_atom_site_fract_z
Na1 Na 0.3333 0.6667 0.0000
Li1 Li 0.0000 0.2321 0.0000
Hg1 Hg 0.0000 0.6724 0.5000
# V (Å³/f.u.): 184.4
# Energy of formation from the pure elements (eV per atom): -0.188
# N(E_F) (states/eV per atom): 0.527

---

[4]
# GGA-PBE Na9Li4Hg11, optimized geometry
data_Na9Li4Hg11
_chemical_formula_sum 'Na18 Li8 Hg22'
_cell_length_a 15.666
_cell_length_b 21.885
_cell_length_c 3.328
_cell_angle_alpha 90.00
_cell_angle_beta 90.00
_cell_angle_gamma 90.00
_space_group_name_H-M_alt 'C m m m'
_space_group_IT_number 65
_space_group_name_Hall '-C 2 2'
loop_
_atom_site_label
_atom_site_type_symbol
_atom_site_fract_x
_atom_site_fract_y
_atom_site_fract_z
Na1 Na 0.000 0.000 0.000
Na2 Na 0.105 0.252 0.000
Na3 Na 0.151 0.424 0.000
Li1 Li 0.142 0.102 0.000
Hg1 Hg 0.000 0.138 0.500
Hg2 Hg 0.000 0.355 0.500
Hg3 Hg 0.000 0.500 0.500
Hg4 Hg 0.191 0.000 0.500
Hg5 Hg 0.245 0.178 0.500
# V (Å³/f.u.): 570.5
# Energy of formation from the pure elements (eV per atom): -0.252
# N(E_F) (states/eV per atom): 0.358

---

Question: What is the formula in the second record?
Answer: Na12LiHg7

---

Question: The highest N(E_F) belongs to which entry?
Answer: Na2Li3Hg3

---

Repeat the fourth record exactly.
# GGA-PBE Na9Li4Hg11, optimized geometry
data_Na9Li4Hg11
_chemical_formula_sum 'Na18 Li8 Hg22'
_cell_length_a 15.666
_cell_length_b 21.885
_cell_length_c 3.328
_cell_angle_alpha 90.00
_cell_angle_beta 90.00
_cell_angle_gamma 90.00
_space_group_name_H-M_alt 'C m m m'
_space_group_IT_number 65
_space_group_name_Hall '-C 2 2'
loop_
_atom_site_label
_atom_site_type_symbol
_atom_site_fract_x
_atom_site_fract_y
_atom_site_fract_z
Na1 Na 0.000 0.000 0.000
Na2 Na 0.105 0.252 0.000
Na3 Na 0.151 0.424 0.000
Li1 Li 0.142 0.102 0.000
Hg1 Hg 0.000 0.138 0.500
Hg2 Hg 0.000 0.355 0.500
Hg3 Hg 0.000 0.500 0.500
Hg4 Hg 0.191 0.000 0.500
Hg5 Hg 0.245 0.178 0.500
# V (Å³/f.u.): 570.5
# Energy of formation from the pure elements (eV per atom): -0.252
# N(E_F) (states/eV per atom): 0.358